[1]
A plane-wave DFT calculation with PBE was carried out for a relaxed structure of Cu3Ag2.

```
10
Lattice="4.4509 -1.3911 0.0000 4.4509 1.3911 0.0000 -2.1496 0.0000 11.6155" Properties=species:S:1:pos:R:3 pbc="T T T"
Cu 0.0000 0.0000 0.0000
Cu -0.6353 0.0000 8.2005
Cu 2.5217 0.0000 1.0509
Cu 3.3761 0.0000 5.8077
Cu 4.2304 0.0000 10.5646
Cu 7.3874 0.0000 3.4149
Ag 0.9276 0.0000 4.6015
Ag 1.8045 0.0000 9.4266
Ag 4.9476 0.0000 2.1888
Ag 5.8245 0.0000 7.0139
```

Output
- DFT formation energy (meV/atom) = 110.0
- VASP energy (eV/cell) = -32.5
- volume (Å³ per atom) = 14.38
- space group = C2/m, No. 12

[2]
A plane-wave DFT calculation with PBE was carried out for a relaxed structure of CuAg.

```
8
Lattice="1.3951 0.8055 17.8408 -1.3951 0.8055 17.8408 0.0000 -1.6109 17.8408" Properties=species:S:1:pos:R:3 pbc="T T T"
Cu 0.0000 0.0000 0.0000
Cu 0.0000 0.0000 6.9331
Cu 0.0000 0.0000 26.7612
Cu 0.0000 0.0000 46.5894
Ag 0.0000 0.0000 13.1546
Ag 0.0000 0.0000 20.0434
Ag 0.0000 0.0000 33.4791
Ag 0.0000 0.0000 40.3678
```

Output
- DFT formation energy (meV/atom) = 98.7
- VASP energy (eV/cell) = -25.4
- volume (Å³ per atom) = 15.04
- space group = R-3m, No. 166

[3]
A plane-wave DFT calculation with PBE was carried out for a relaxed structure of CuAg.

```
10
Lattice="7.2749 -1.3954 0.0000 7.2749 1.3954 0.0000 -1.9552 0.0000 7.2684" Properties=species:S:1:pos:R:3 pbc="T T T"
Cu 0.0000 0.0000 0.0000
Cu -0.8602 0.0000 3.4012
Cu 2.4800 0.0000 0.6523
Cu 5.7153 0.0000 1.3988
Cu 8.1275 0.0000 1.9932
Ag 1.7753 0.0000 4.1390
Ag 4.4934 0.0000 4.9785
Ag 7.1270 0.0000 5.7221
Ag 9.8375 0.0000 6.6863
Ag 11.0153 0.0000 2.5437
```

Output
- DFT formation energy (meV/atom) = 75.1
- VASP energy (eV/cell) = -32.0
- volume (Å³ per atom) = 14.76
- space group = Cm, No. 8

Copy entry 1 word for word.
A plane-wave DFT calculation with PBE was carried out for a relaxed structure of Cu3Ag2.

```
10
Lattice="4.4509 -1.3911 0.0000 4.4509 1.3911 0.0000 -2.1496 0.0000 11.6155" Properties=species:S:1:pos:R:3 pbc="T T T"
Cu 0.0000 0.0000 0.0000
Cu -0.6353 0.0000 8.2005
Cu 2.5217 0.0000 1.0509
Cu 3.3761 0.0000 5.8077
Cu 4.2304 0.0000 10.5646
Cu 7.3874 0.0000 3.4149
Ag 0.9276 0.0000 4.6015
Ag 1.8045 0.0000 9.4266
Ag 4.9476 0.0000 2.1888
Ag 5.8245 0.0000 7.0139
```

Output
- DFT formation energy (meV/atom) = 110.0
- VASP energy (eV/cell) = -32.5
- volume (Å³ per atom) = 14.38
- space group = C2/m, No. 12